A plane-wave DFT calculation with GGA-PBE was carried out for PmSc4Sn4 after structural relaxation.

Geometry as CIF:
```
data_PmSc4Sn4
_chemical_formula_sum 'Pm2 Sc8 Sn8'
_cell_length_a 5.804
_cell_length_b 9.535
_cell_length_c 9.535
_cell_angle_alpha 90.00
_cell_angle_beta 90.00
_cell_angle_gamma 90.00
_symmetry_space_group_name_H-M 'P 1'
_symmetry_Int_Tables_number 1
loop_
_symmetry_equiv_pos_as_xyz
'x,y,z'
loop_
_atom_site_label
_atom_site_type_symbol
_atom_site_fract_x
_atom_site_fract_y
_atom_site_fract_z
_atom_site_occupancy
Sn1 Sn 0.915 0.697 0.152 1
Sn2 Sn 0.085 0.152 0.303 1
Sn3 Sn 0.585 0.197 0.652 1
Sn4 Sn 0.085 0.848 0.697 1
Sn5 Sn 0.415 0.348 0.197 1
Sn6 Sn 0.585 0.803 0.348 1
Sn7 Sn 0.415 0.652 0.803 1
Sn8 Sn 0.915 0.303 0.848 1
Sc1 Sc 0.102 0.140 0.611 1
Sc2 Sc 0.898 0.611 0.860 1
Sc3 Sc 0.602 0.111 0.360 1
Sc4 Sc 0.398 0.640 0.111 1
Sc5 Sc 0.898 0.389 0.140 1
Sc6 Sc 0.602 0.889 0.640 1
Sc7 Sc 0.102 0.860 0.389 1
Sc8 Sc 0.398 0.360 0.889 1
Pm1 Pm 0.000 0.000 0.000 1
Pm2 Pm 0.500 0.500 0.500 1
```

Summary:
DOS at the Fermi energy: 1.06 states/eV/atom
formation enthalpy at 0 K: -0.3739 eV/atom
space group: P4_2/n, No. 86